Crystalline Tb3Pr2ErTm6 at its relaxed geometry, computed with PBE-GGA.

## Properties
The symmetry is No. 12. The value obtained for the density of states at the Fermi level is 14.9 states/eV/f.u. The total DFT energy (no corrections) is -4.5488 eV/atom. The magnetic moment comes out at 0.0 μB/cell. The energy relative to the elements comes out at 0.021 eV/atom.

Unit cell a=6.144 b=6.144 c=11.695 alpha=95.01 beta=95.01 gamma=119.97
Atoms (fractional coordinates):
Tb (0.000, 0.000, 0.000)
Tb (0.333, 0.667, 0.000)
Tb (0.667, 0.333, 0.000)
Pr (0.167, 0.833, 0.500)
Pr (0.833, 0.167, 0.500)
Er (0.500, 0.500, 0.500)
Tm (0.083, 0.416, 0.248)
Tm (0.252, 0.252, 0.753)
Tm (0.416, 0.083, 0.248)
Tm (0.584, 0.917, 0.752)
Tm (0.748, 0.748, 0.247)
Tm (0.917, 0.584, 0.752)